Material: CaIF2
Method: DFT, meta-GGA SCAN
State: single point on PBEsol structure

Unit cell a=9.8548 b=9.8548 c=9.8548 alpha=20.30 beta=20.30 gamma=20.30
Last column: nearest neighbours and their distance in Å.
Atoms (fractional coordinates):
Ca1 0.0000 0.0000 0.0000  6 F 2.24
I1 0.5000 0.5000 0.5000  6 I 3.47, 2 F 3.83
F1 0.3676 0.3676 0.3676  3 Ca 2.24
F2 0.6324 0.6324 0.6324  3 Ca 2.24

- Formation energy without anion corrections: -2.88 eV per atom
- V: 101 Å³/cell
- Spin magnetization: 0.0 Bohr magnetons per cell

Material: Ca10P6SO24
Method: DFT, meta-GGA SCAN
State: single point on PBEsol structure

Unit cell a=9.4259 b=9.4259 c=6.7990 alpha=90.00 beta=90.00 gamma=120.00
Last column: nearest neighbours and their distance in Å.
Atoms (fractional coordinates):
Ca1 0.0101 0.7538 0.2552  4 O 2.31-2.41
Ca2 0.2462 0.2562 0.2552  4 O 2.31-2.41
Ca3 0.2562 0.0101 0.7448  4 O 2.31-2.41
Ca4 0.3333 0.6667 0.0212  6 O 2.32-2.34
Ca5 0.3333 0.6667 0.5143  9 O 2.43-2.65
Ca6 0.6667 0.3333 0.4857  9 O 2.43-2.65
Ca7 0.6667 0.3333 0.9788  6 O 2.32-2.34
Ca8 0.7438 0.9899 0.2552  4 O 2.31-2.41
Ca9 0.7538 0.7438 0.7448  4 O 2.31-2.41
Ca10 0.9899 0.2462 0.7448  4 O 2.31-2.41
P1 0.0282 0.6297 0.7532  4 O 1.55-1.56
P2 0.3703 0.3985 0.7532  4 O 1.55-1.56
P3 0.3985 0.0282 0.2468  4 O 1.55-1.56
P4 0.6015 0.9718 0.7532  4 O 1.55-1.56
P5 0.6297 0.6015 0.2468  4 O 1.55-1.56
P6 0.9718 0.3703 0.2468  4 O 1.55-1.56
S1 0.0000 0.0000 0.5000  6 Ca 2.90
O1 0.0688 0.7647 0.9089  1 P 1.55
O2 0.1017 0.7153 0.5549  1 P 1.55
O3 0.1156 0.5307 0.8016  1 P 1.56
O4 0.1596 0.4835 0.2568  1 P 1.55
O5 0.2353 0.3041 0.9089  1 P 1.55
O6 0.2847 0.3864 0.5549  1 P 1.55
O7 0.3041 0.0688 0.0911  1 P 1.55
O8 0.3238 0.8404 0.2568  1 P 1.55
O9 0.3864 0.1017 0.4451  1 P 1.55
O10 0.4151 0.8844 0.8016  1 P 1.56
O11 0.4693 0.5849 0.8016  1 P 1.56
O12 0.4835 0.3238 0.7432  1 P 1.55
O13 0.5165 0.6762 0.2568  1 P 1.55
O14 0.5307 0.4151 0.1984  1 P 1.56
O15 0.5849 0.1156 0.1984  1 P 1.56
O16 0.6136 0.8983 0.5549  1 P 1.55
O17 0.6762 0.1596 0.7432  1 P 1.55
O18 0.6959 0.9312 0.9089  1 P 1.55
O19 0.7153 0.6136 0.4451  1 P 1.55
O20 0.7647 0.6959 0.0911  1 P 1.55
O21 0.8404 0.5165 0.7432  1 P 1.55
O22 0.8844 0.4693 0.1984  1 P 1.56
O23 0.8983 0.2847 0.4451  1 P 1.55
O24 0.9312 0.2353 0.0911  1 P 1.55

- Formation energy without anion corrections: -3.17 eV per atom
- Relative energy among the computed polymorphs: 0 meV per atom
- V: 523 Å³/cell
- Spin magnetization: 0.1 Bohr magnetons per cell

Material: BaMgP
Method: DFT, meta-GGA SCAN
State: single point on PBEsol structure

Unit cell a=4.8276 b=4.8276 c=4.8276 alpha=60.00 beta=60.00 gamma=60.00
Last column: nearest neighbours and their distance in Å.
Atoms (fractional coordinates):
Ba1 0.0000 0.0000 0.0000  4 Mg 2.96
Mg1 0.7500 0.7500 0.7500  4 Ba 2.96, 4 P 2.96
P1 0.5000 0.5000 0.5000  4 Mg 2.96

- V: 80 Å³/cell
- Spin magnetization: 0.0 Bohr magnetons per cell
- E_tot: -55.6 eV/cell

Material: AlCrIn
Method: DFT, meta-GGA SCAN
State: single point on PBEsol structure

Unit cell a=4.3693 b=4.3693 c=4.3693 alpha=60.00 beta=60.00 gamma=60.00
Last column: nearest neighbours and their distance in Å.
Atoms (fractional coordinates):
Al1 0.0000 0.0000 0.0000  4 Cr 2.68
Cr1 0.7500 0.7500 0.7500  4 In 2.68, 4 Al 2.68
In1 0.5000 0.5000 0.5000  4 Cr 2.68

- Relative energy among the computed polymorphs: 91 meV per atom
- V: 59 Å³/cell
- Spin magnetization: 3.5 Bohr magnetons per cell

Material: CaY2Zn2
Method: DFT, meta-GGA SCAN
State: single point on PBEsol structure

Unit cell a=8.2117 b=8.2117 c=3.6815 alpha=90.00 beta=90.00 gamma=90.00
Last column: nearest neighbours and their distance in Å.
Atoms (fractional coordinates):
Ca1 0.0000 0.0000 0.0000  4 Zn 3.22, 8 Y 3.58
Ca2 0.5000 0.5000 0.0000  4 Zn 3.22, 8 Y 3.58
Y1 0.1625 0.3375 0.5000  6 Zn 3.03-3.04
Y2 0.3375 0.8375 0.5000  6 Zn 3.03-3.04
Y3 0.6625 0.1625 0.5000  6 Zn 3.03-3.04
Y4 0.8375 0.6625 0.5000  6 Zn 3.03-3.04
Zn1 0.1299 0.6299 0.0000  1 Zn 3.02, 6 Y 3.03-3.04, 2 Ca 3.22
Zn2 0.3701 0.1299 0.0000  1 Zn 3.02, 6 Y 3.03-3.04, 2 Ca 3.22
Zn3 0.6299 0.8701 0.0000  1 Zn 3.02, 6 Y 3.03-3.04, 2 Ca 3.22
Zn4 0.8701 0.3701 0.0000  1 Zn 3.02, 6 Y 3.03-3.04, 2 Ca 3.22

- V: 248 Å³/cell
- Spin magnetization: 0.0 Bohr magnetons per cell
- E_tot: -187.5 eV/cell

Material: Mn2TlAs
Method: DFT, meta-GGA SCAN
State: single point on PBEsol structure

Unit cell a=3.6482 b=3.9499 c=4.6183 alpha=90.00 beta=90.00 gamma=90.00
Last column: nearest neighbours and their distance in Å.
Atoms (fractional coordinates):
Mn1 0.0000 0.0000 0.0000  4 As 2.69, 4 Tl 2.94
Mn2 0.0000 0.5000 0.5000  4 Tl 2.69, 4 As 2.94
Tl1 0.5000 0.0000 0.5000  8 Mn 2.69-2.94
As1 0.5000 0.5000 0.0000  8 Mn 2.69-2.94

- Relative energy among the computed polymorphs: 77 meV per atom
- V: 67 Å³/cell
- Spin magnetization: 7.5 Bohr magnetons per cell

Material: Ca2TlZn
Method: DFT, meta-GGA SCAN
State: single point on PBEsol structure

Unit cell a=3.6667 b=5.2909 c=5.2917 alpha=90.00 beta=90.00 gamma=90.00
Last column: nearest neighbours and their distance in Å.
Atoms (fractional coordinates):
Ca1 0.0000 0.0000 0.0000  4 Zn 3.22, 4 Tl 3.22
Ca2 0.0000 0.5000 0.4988  4 Tl 3.22, 4 Zn 3.22
Tl1 0.5000 0.5000 0.9986  8 Ca 3.22
Zn1 0.5000 0.0000 0.5006  8 Ca 3.22

- V: 103 Å³/cell
- Spin magnetization: 0.0 Bohr magnetons per cell
- E_tot: -107.1 eV/cell

Material: RbMo3Se3
Method: DFT, meta-GGA SCAN
State: single point on PBEsol structure

Unit cell a=9.2430 b=9.2430 c=4.4662 alpha=90.00 beta=90.00 gamma=120.00
Last column: nearest neighbours and their distance in Å.
Atoms (fractional coordinates):
Rb1 0.3333 0.6667 0.2500  9 Se 3.52-3.56
Rb2 0.6667 0.3333 0.7500  9 Se 3.52-3.56
Mo1 0.0274 0.1767 0.2500  4 Se 2.60-2.68, 6 Mo 2.64-2.70
Mo2 0.1493 0.9726 0.2500  4 Se 2.60-2.68, 6 Mo 2.64-2.70
Mo3 0.1767 0.1493 0.7500  4 Se 2.60-2.68, 6 Mo 2.64-2.70
Mo4 0.8233 0.8507 0.2500  4 Se 2.60-2.68, 6 Mo 2.64-2.70
Mo5 0.8507 0.0274 0.7500  4 Se 2.60-2.68, 6 Mo 2.64-2.70
Mo6 0.9726 0.8233 0.7500  4 Se 2.60-2.68, 6 Mo 2.64-2.70
Se1 0.0552 0.3494 0.7500  4 Mo 2.60-2.68
Se2 0.2942 0.9448 0.7500  4 Mo 2.60-2.68
Se3 0.3494 0.2942 0.2500  4 Mo 2.60-2.68
Se4 0.6506 0.7058 0.7500  4 Mo 2.60-2.68
Se5 0.7058 0.0552 0.2500  4 Mo 2.60-2.68
Se6 0.9448 0.6506 0.2500  4 Mo 2.60-2.68

- Formation energy without anion corrections: -0.82 eV per atom
- V: 330 Å³/cell
- Spin magnetization: 0.0 Bohr magnetons per cell

Material: CrFeNi6
Method: DFT, meta-GGA SCAN
State: single point on PBEsol structure

Unit cell a=6.0401 b=6.0401 c=9.8617 alpha=90.00 beta=90.00 gamma=109.46
Last column: nearest neighbours and their distance in Å.
Atoms (fractional coordinates):
Cr1 0.0000 0.0000 0.2496  12 Ni 2.46-2.47
Cr2 0.0000 0.0000 0.7504  12 Ni 2.46-2.47
Cr3 0.2497 0.7503 0.0000  12 Ni 2.46-2.47
Cr4 0.7503 0.2497 0.0000  12 Ni 2.46-2.47
Fe1 0.2493 0.7507 0.5000  12 Ni 2.46-2.47
Fe2 0.5000 0.5000 0.2505  12 Ni 2.46-2.47
Fe3 0.5000 0.5000 0.7495  12 Ni 2.46-2.47
Fe4 0.7507 0.2493 0.5000  12 Ni 2.46-2.47
Ni1 0.0000 0.0000 0.0000  4 Cr 2.46, 8 Ni 2.47
Ni2 0.0000 0.0000 0.5000  2 Fe 2.46, 2 Cr 2.47, 8 Ni 2.47
Ni3 0.1252 0.3754 0.1249  8 Ni 2.46-2.47, 3 Cr 2.47, 1 Fe 2.47
Ni4 0.1252 0.3754 0.8751  8 Ni 2.46-2.47, 3 Cr 2.47, 1 Fe 2.47
Ni5 0.1257 0.3761 0.3752  3 Fe 2.46, 8 Ni 2.46-2.47, 1 Cr 2.47
Ni6 0.1257 0.3761 0.6248  3 Fe 2.46, 8 Ni 2.46-2.47, 1 Cr 2.47
Ni7 0.2494 0.7506 0.2497  2 Cr 2.46, 8 Ni 2.46-2.47, 2 Fe 2.47
Ni8 0.2494 0.7506 0.7503  2 Cr 2.46, 8 Ni 2.46-2.47, 2 Fe 2.47
Ni9 0.3754 0.1252 0.1249  8 Ni 2.46-2.47, 3 Cr 2.47, 1 Fe 2.47
Ni10 0.3754 0.1252 0.8751  8 Ni 2.46-2.47, 3 Cr 2.47, 1 Fe 2.47
Ni11 0.3761 0.1257 0.3752  3 Fe 2.46, 8 Ni 2.46-2.47, 1 Cr 2.47
Ni12 0.3761 0.1257 0.6248  3 Fe 2.46, 8 Ni 2.46-2.47, 1 Cr 2.47
Ni13 0.5000 0.5000 0.0000  8 Ni 2.46, 2 Cr 2.47, 2 Fe 2.47
Ni14 0.5000 0.5000 0.5000  4 Fe 2.46-2.47, 8 Ni 2.46
Ni15 0.6239 0.8743 0.3752  3 Fe 2.46, 8 Ni 2.46-2.47, 1 Cr 2.47
Ni16 0.6239 0.8743 0.6248  3 Fe 2.46, 8 Ni 2.46-2.47, 1 Cr 2.47
Ni17 0.6246 0.8748 0.1249  8 Ni 2.46-2.47, 3 Cr 2.47, 1 Fe 2.47
Ni18 0.6246 0.8748 0.8751  8 Ni 2.46-2.47, 3 Cr 2.47, 1 Fe 2.47
Ni19 0.7506 0.2494 0.2497  2 Cr 2.46, 8 Ni 2.46-2.47, 2 Fe 2.47
Ni20 0.7506 0.2494 0.7503  2 Cr 2.46, 8 Ni 2.46-2.47, 2 Fe 2.47
Ni21 0.8743 0.6239 0.3752  3 Fe 2.46, 8 Ni 2.46-2.47, 1 Cr 2.47
Ni22 0.8743 0.6239 0.6248  3 Fe 2.46, 8 Ni 2.46-2.47, 1 Cr 2.47
Ni23 0.8748 0.6246 0.1249  8 Ni 2.46-2.47, 3 Cr 2.47, 1 Fe 2.47
Ni24 0.8748 0.6246 0.8751  8 Ni 2.46-2.47, 3 Cr 2.47, 1 Fe 2.47

- V: 339 Å³/cell
- Spin magnetization: 37.6 Bohr magnetons per cell
- E_tot: -537.2 eV/cell

Material: ScTc2Os
Method: DFT, meta-GGA SCAN
State: single point on PBEsol structure

Unit cell a=4.3835 b=4.3835 c=4.3835 alpha=60.00 beta=60.00 gamma=60.00
Last column: nearest neighbours and their distance in Å.
Atoms (fractional coordinates):
Sc1 0.0000 0.0000 0.0000  4 Tc 2.68, 4 Os 2.68
Tc1 0.2500 0.2500 0.2500  4 Tc 2.68, 4 Sc 2.68
Tc2 0.5000 0.5000 0.5000  4 Os 2.68, 4 Tc 2.68
Os1 0.7500 0.7500 0.7500  4 Tc 2.68, 4 Sc 2.68

- Relative energy among the computed polymorphs: 8 meV per atom
- V: 60 Å³/cell
- Spin magnetization: 0.0 Bohr magnetons per cell

Material: KBa2Fe
Method: DFT, meta-GGA SCAN
State: single point on PBEsol structure

Unit cell a=3.9300 b=3.9300 c=11.0673 alpha=90.00 beta=90.00 gamma=90.00
Last column: nearest neighbours and their distance in Å.
Atoms (fractional coordinates):
K1 0.0000 0.0000 0.0000  4 K 3.93
Ba1 0.5000 0.5000 0.3336  4 Fe 3.33, 1 Ba 3.68
Ba2 0.5000 0.5000 0.6664  4 Fe 3.33, 1 Ba 3.68
Fe1 0.0000 0.0000 0.5000  8 Ba 3.33

- V: 171 Å³/cell
- Spin magnetization: 2.3 Bohr magnetons per cell
- E_tot: -103.9 eV/cell

Material: Y3Pt5
Method: DFT, meta-GGA SCAN
State: single point on PBEsol structure

Unit cell a=5.7044 b=5.7044 c=4.7168 alpha=90.00 beta=90.00 gamma=101.52
Last column: nearest neighbours and their distance in Å.
Atoms (fractional coordinates):
Y1 0.0000 0.0000 0.0000  8 Pt 2.79-2.85
Y2 0.2924 0.7076 0.5000  10 Pt 2.80-2.99
Y3 0.7076 0.2924 0.5000  10 Pt 2.80-2.99
Pt1 0.0000 0.5000 0.0000  2 Pt 2.85, 6 Y 2.85-2.99
Pt2 0.2066 0.2066 0.5000  6 Y 2.79-2.98, 1 Pt 2.98
Pt3 0.5000 0.0000 0.0000  2 Pt 2.85, 6 Y 2.85-2.99
Pt4 0.5000 0.5000 0.0000  8 Pt 2.85-3.17, 4 Y 2.99
Pt5 0.7934 0.7934 0.5000  6 Y 2.79-2.98, 1 Pt 2.98

- V: 150 Å³/cell
- Spin magnetization: 0.0 Bohr magnetons per cell
- E_tot: -444.3 eV/cell

Material: CuIrPt2
Method: DFT, meta-GGA SCAN
State: single point on PBEsol structure

Unit cell a=2.6899 b=2.6899 c=9.1213 alpha=90.00 beta=90.00 gamma=120.36
Last column: nearest neighbours and their distance in Å.
Atoms (fractional coordinates):
Cu1 0.0000 0.0000 0.0000  4 Pt 2.57, 6 Cu 2.68-2.69
Ir1 0.0000 0.0000 0.5000  6 Ir 2.68-2.69, 4 Pt 2.72
Pt1 0.5000 0.5000 0.2406  2 Cu 2.57, 6 Pt 2.68-2.69, 2 Ir 2.72
Pt2 0.5000 0.5000 0.7594  2 Cu 2.57, 6 Pt 2.68-2.69, 2 Ir 2.72

- Relative energy among the computed polymorphs: 161 meV per atom
- V: 57 Å³/cell
- Spin magnetization: 0.0 Bohr magnetons per cell

Material: BaSrPb2N
Method: DFT, meta-GGA SCAN
State: single point on PBEsol structure

Unit cell a=5.2656 b=5.2656 c=5.1999 alpha=90.00 beta=90.00 gamma=90.00
Last column: nearest neighbours and their distance in Å.
Atoms (fractional coordinates):
Ba1 0.0000 0.0000 0.0000  2 N 2.60
Sr1 0.5000 0.5000 0.0000  8 Pb 3.70, 4 Ba 3.72
Pb1 0.0000 0.5000 0.5000  2 N 2.63
Pb2 0.5000 0.0000 0.5000  2 N 2.63
N1 0.0000 0.0000 0.5000  2 Ba 2.60, 4 Pb 2.63

- Formation energy without anion corrections: -0.08 eV per atom
- V: 144 Å³/cell
- Spin magnetization: 0.7 Bohr magnetons per cell

Material: Co2Cu2Sn
Method: DFT, meta-GGA SCAN
State: single point on PBEsol structure

Unit cell a=6.4486 b=6.4486 c=6.4486 alpha=149.26 beta=149.26 gamma=44.02
Last column: nearest neighbours and their distance in Å.
Atoms (fractional coordinates):
Co1 0.2500 0.7500 0.5000  4 Co 2.42, 4 Cu 2.44
Co2 0.7500 0.2500 0.5000  4 Co 2.42, 4 Cu 2.44
Cu1 0.1040 0.1040 0.0000  4 Co 2.44, 1 Cu 2.49, 4 Sn 2.72
Cu2 0.8960 0.8960 0.0000  4 Co 2.44, 1 Cu 2.49, 4 Sn 2.72
Sn1 0.5000 0.5000 0.0000  8 Cu 2.72

- V: 70 Å³/cell
- Spin magnetization: 3.7 Bohr magnetons per cell
- E_tot: -98.8 eV/cell

Material: Li3CdN
Method: DFT, meta-GGA SCAN
State: single point on PBEsol structure

Unit cell a=4.0230 b=4.0230 c=4.0230 alpha=90.00 beta=90.00 gamma=90.00
Last column: nearest neighbours and their distance in Å.
Atoms (fractional coordinates):
Li1 0.0000 0.0000 0.5000  2 N 2.01
Li2 0.0000 0.5000 0.0000  2 N 2.01
Li3 0.5000 0.0000 0.0000  2 N 2.01
Cd1 0.5000 0.5000 0.5000  12 Li 2.84
N1 0.0000 0.0000 0.0000  6 Li 2.01

- Formation energy without anion corrections: -0.25 eV per atom
- V: 65 Å³/cell
- Spin magnetization: 0.0 Bohr magnetons per cell

Material: UGaRh
Method: DFT, meta-GGA SCAN
State: single point on PBEsol structure

Unit cell a=6.7181 b=6.7181 c=4.0606 alpha=90.00 beta=90.00 gamma=120.00
Last column: nearest neighbours and their distance in Å.
Atoms (fractional coordinates):
U1 0.0000 0.5754 0.0000  5 Rh 2.85, 2 Ga 3.04
U2 0.4246 0.4246 0.0000  5 Rh 2.85, 2 Ga 3.04
U3 0.5754 0.0000 0.0000  5 Rh 2.85, 2 Ga 3.04
Ga1 0.0000 0.2381 0.5000  4 Rh 2.58-2.62, 2 Ga 2.77
Ga2 0.2381 0.0000 0.5000  4 Rh 2.58-2.62, 2 Ga 2.77
Ga3 0.7619 0.7619 0.5000  4 Rh 2.58-2.62, 2 Ga 2.77
Rh1 0.0000 0.0000 0.0000  6 Ga 2.58, 3 U 2.85
Rh2 0.3333 0.6667 0.5000  3 Ga 2.62, 6 U 2.85
Rh3 0.6667 0.3333 0.5000  3 Ga 2.62, 6 U 2.85

- V: 159 Å³/cell
- Spin magnetization: 5.7 Bohr magnetons per cell
- E_tot: -465.7 eV/cell

Material: CsGaSe2
Method: DFT, meta-GGA SCAN
State: single point on PBEsol structure

Unit cell a=6.9050 b=6.9050 c=6.9050 alpha=113.09 beta=113.09 gamma=102.45
Last column: nearest neighbours and their distance in Å.
Atoms (fractional coordinates):
Cs1 0.0000 0.0000 0.0000  8 Se 3.52-3.90
Cs2 0.7500 0.2500 0.5000  8 Se 3.52-3.90
Ga1 0.2500 0.7500 0.5000  4 Se 2.43
Ga2 0.5000 0.5000 0.0000  4 Se 2.43
Se1 0.2369 0.1250 0.6119  2 Ga 2.43
Se2 0.3750 0.7631 0.8881  2 Ga 2.43
Se3 0.5131 0.6250 0.3881  2 Ga 2.43
Se4 0.8750 0.4869 0.1119  2 Ga 2.43

- Formation energy without anion corrections: -1.05 eV per atom
- V: 251 Å³/cell
- Spin magnetization: 0.0 Bohr magnetons per cell

Material: Ag7Sb
Method: DFT, meta-GGA SCAN
State: single point on PBEsol structure

Unit cell a=5.8315 b=5.8315 c=5.8315 alpha=60.00 beta=60.00 gamma=60.00
Last column: nearest neighbours and their distance in Å.
Atoms (fractional coordinates):
Ag1 0.0000 0.0000 0.0000  12 Ag 2.92
Ag2 0.0000 0.0000 0.5000  2 Sb 2.92, 10 Ag 2.92
Ag3 0.0000 0.5000 0.0000  2 Sb 2.92, 10 Ag 2.92
Ag4 0.0000 0.5000 0.5000  10 Ag 2.92, 2 Sb 2.92
Ag5 0.5000 0.0000 0.0000  2 Sb 2.92, 10 Ag 2.92
Ag6 0.5000 0.0000 0.5000  10 Ag 2.92, 2 Sb 2.92
Ag7 0.5000 0.5000 0.0000  10 Ag 2.92, 2 Sb 2.92
Sb1 0.5000 0.5000 0.5000  12 Ag 2.92

- Formation energy without anion corrections: 0.04 eV per atom
- V: 140 Å³/cell
- Spin magnetization: 0.0 Bohr magnetons per cell

Material: BaNiIr2
Method: DFT, meta-GGA SCAN
State: single point on PBEsol structure

Unit cell a=3.0088 b=3.0088 c=7.7944 alpha=90.00 beta=90.00 gamma=90.00
Last column: nearest neighbours and their distance in Å.
Atoms (fractional coordinates):
Ba1 0.0000 0.0000 0.0000  4 Ba 3.01, 8 Ir 3.31
Ni1 0.0000 0.0000 0.5000  8 Ir 2.53
Ir1 0.5000 0.5000 0.3251  4 Ni 2.53, 1 Ir 2.73
Ir2 0.5000 0.5000 0.6749  4 Ni 2.53, 1 Ir 2.73

- V: 71 Å³/cell
- Spin magnetization: 0.0 Bohr magnetons per cell
- E_tot: -195.9 eV/cell